w:
## BeIn2Pb (PBE)

Data for a relaxed BeIn2Pb crystal.

```
BeIn2Pb
1.0
-1.656 2.127 6.915
1.656 -2.127 6.915
1.656 2.127 -6.915
Be In Pb
1 2 1
direct
0.000 0.000 0.000 Be
0.500 0.500 0.000 In
0.833 0.333 0.500 In
0.179 0.679 0.500 Pb
```

Properties
The size of the total moment is 0.000 μB per atom. The space-group type is Imm2, No. 44.


x:
## BeIn2Pb (PBE)

Data for a relaxed BeIn2Pb crystal.

```
BeIn2Pb
1.0
3.309 0.000 0.000
0.000 3.309 0.000
0.000 0.000 8.577
Be In Pb
1 2 1
direct
0.000 0.000 0.000 Be
0.500 0.500 0.188 In
0.500 0.500 0.812 In
0.000 0.000 0.500 Pb
```

Properties
The size of the total moment is 0.000 μB per atom. The space-group type is P4/mmm, No. 123.


y:
## BeIn2Pb (PBE)

Data for a relaxed BeIn2Pb crystal.

```
BeIn2Pb
1.0
3.214 -4.450 0.000
3.214 4.450 0.000
0.000 0.000 3.436
Be In Pb
1 2 1
direct
0.000 0.000 0.000 Be
0.000 0.500 0.500 In
0.500 0.000 0.500 In
0.500 0.500 0.000 Pb
```

Properties
The size of the total moment is 0.000 μB per atom. The space-group type is Cmmm, No. 65.


z:
## BeIn2Pb (PBE)

Data for a relaxed BeIn2Pb crystal.

```
BeIn2Pb
1.0
2.185 -2.486 0.000
2.185 2.486 0.000
0.000 0.000 8.830
Be In Pb
1 2 1
direct
0.000 0.000 0.000 Be
0.000 0.000 0.468 In
0.500 0.500 0.177 In
0.500 0.500 0.796 Pb
```

Properties
The size of the total moment is 0.000 μB per atom. The space-group type is Cmm2, No. 35.


It is y that is the least stable of them.